1.
Sm2Al3Ag (PBE, optimized geometry); space group = Imm2 (44); calculated volume = 23.9 Å³ per atom; calculated formation energy = -0.3732 eV per atom; total DFT energy (no corrections) = -4.293 eV per atom; magnetic moment = 0.0000 μB per atom; ΔE to the lowest computed polymorph = 65 meV per atom
1.0
-1.0533 3.1015 -2.5736
-4.1774 -0.3265 1.3162
4.0028 3.8069 6.3206
Al Ag Sm
3 1 2
direct
0.2946 0.7946 0.5892
0.5417 0.5417 0.0835
0.7055 0.7055 0.4111
0.4587 0.9587 0.9174
0.1330 0.1330 0.2659
0.8664 0.3664 0.7329

2.
V4MoIr5 (PBE, optimized geometry); space group = P4/mmm (123); calculated volume = 14.2 Å³ per atom; calculated formation energy = -0.4506 eV per atom; total DFT energy (no corrections) = -9.612 eV per atom; magnetic moment = 0.0001 μB per atom
1.0
-0.0240 -0.7361 2.6583
1.0325 -2.4675 -0.6739
17.2519 6.6717 2.0031
Ir V Mo
5 4 1
direct
0.5000 0.5000 0.8939
0.5000 0.5000 0.5000
0.5000 0.5000 0.6962
0.5000 0.5000 0.3038
0.5000 0.5000 0.1061
0.0000 0.0000 0.5985
0.0000 0.0000 0.2045
0.0000 0.0000 0.7955
0.0000 0.0000 0.4015
0.0000 0.0000 0.0000

3.
InPb2Cl4 (PBE, optimized geometry); space group = P-1 (2); calculated volume = 31.3 Å³ per atom; raw formation energy = -6.2 eV per formula unit; total DFT energy (no corrections) = -3.386 eV per atom; magnetic moment = 0.0000 μB per atom
1.0
-1.7432 -8.4930 0.4502
0.5470 3.1441 -8.1663
7.0867 2.7267 5.6647
Cl Pb In
8 4 2
direct
0.2951 0.1484 0.7979
0.7863 0.1534 0.1603
0.4064 0.5379 0.6615
0.4637 0.5965 0.3397
0.8512 0.7044 0.2000
0.9550 0.6016 0.7021
0.3988 0.0458 0.2999
0.8434 0.2121 0.8385
0.6251 0.3751 0.2501
0.6250 0.8750 0.2500
0.1250 0.3750 0.7500
0.6249 0.3750 0.7500
0.2635 0.7302 0.4997
0.9865 0.0197 0.0002

4.
PaGa2Co (PBE, optimized geometry); space group = P4/mmm (123); calculated volume = 16.5 Å³ per atom; calculated formation energy = -0.2239 eV per atom; total DFT energy (no corrections) = -5.888 eV per atom; magnetic moment = 0.3103 μB per atom
1.0
3.0300 0.0000 0.0000
0.0000 3.0300 0.0000
0.0000 0.0000 7.1987
Pa Ga Co
1 2 1
direct
0.5000 0.5000 0.5000
0.0000 0.0000 0.8110
0.0000 0.0000 0.1890
0.5000 0.5000 0.0000

5.
CaPu2VN4 (PBE, optimized geometry); space group = Cmcm (63); calculated volume = 14.8 Å³ per atom; raw formation energy = -8.8 eV per formula unit; total DFT energy (no corrections) = -10.234 eV per atom; magnetic moment = 1.3598 μB per atom
1.0
-2.5017 0.2038 -2.2925
0.9056 -5.9352 1.0044
-8.0516 0.2624 8.8097
V N Ca Pu
2 8 2 4
direct
0.8297 0.6593 0.7500
0.1703 0.3407 0.2500
0.4176 0.8351 0.7500
0.5824 0.1649 0.2500
0.2628 0.5255 0.3740
0.0000 0.0000 0.0000
0.0000 0.0000 0.5000
0.7372 0.4745 0.6260
0.2628 0.5255 0.1260
0.7372 0.4745 0.8740
0.0978 0.1957 0.7500
0.9022 0.8043 0.2500
0.3690 0.7380 0.9590
0.3690 0.7380 0.5410
0.6310 0.2620 0.4590
0.6310 0.2620 0.0410

6.
Zr2CO (PBE, optimized geometry); space group = R3m (160); calculated volume = 13.1 Å³ per atom; raw formation energy = -6.7 eV per formula unit; total DFT energy (no corrections) = -9.506 eV per atom; magnetic moment = 0.0000 μB per atom; ΔE to the lowest computed polymorph = 40 meV per atom
1.0
3.2454 0.0000 0.0000
1.6227 2.8106 0.0000
1.6227 0.9369 5.7232
Zr O C
2 1 1
direct
0.2584 0.2584 0.2248
0.0748 0.0748 0.7755
0.4975 0.4975 0.5074
0.6693 0.6693 0.9922

7.
InFeGe2Cl (PBE, optimized geometry); space group = P4/mmm (123); calculated volume = 20.7 Å³ per atom; raw formation energy = -1.3 eV per formula unit; total DFT energy (no corrections) = -4.725 eV per atom; magnetic moment = 0.0000 μB per atom
1.0
4.4842 0.0000 0.0000
0.0000 4.4842 0.0000
0.0000 0.0000 5.1549
Ge In Cl Fe
2 1 1 1
direct
0.5000 0.0000 0.0000
0.0000 0.5000 0.0000
0.0000 0.0000 0.5000
0.5000 0.5000 0.5000
0.0000 0.0000 0.0000

8.
Nb2MoIr (PBE, optimized geometry); space group = P4/mmm (123); calculated volume = 16.7 Å³ per atom; calculated formation energy = -0.2933 eV per atom; total DFT energy (no corrections) = -10.251 eV per atom; magnetic moment = 0.0000 μB per atom
1.0
3.3093 0.0000 0.0000
0.0000 4.4876 0.0000
0.0000 0.0000 4.4876
Nb Mo Ir
2 1 1
direct
0.0000 0.0000 0.5000
0.0000 0.5000 0.0000
0.5000 0.5000 0.5000
0.5000 0.0000 0.0000

9.
Mg2IrCl (PBE, optimized geometry); space group = C2/m (12); calculated volume = 20.4 Å³ per atom; raw formation energy = -2.0 eV per formula unit; total DFT energy (no corrections) = -3.977 eV per atom; magnetic moment = 0.0000 μB per atom; ΔE to the lowest computed polymorph = 239 meV per atom
1.0
3.9920 0.0135 0.0333
2.8028 2.8426 0.0333
3.5782 1.5041 7.2469
Mg Ir Cl
2 1 1
direct
0.0745 0.0745 0.0414
0.4255 0.4255 0.4586
0.2500 0.2500 0.2500
0.7500 0.7500 0.7500

10.
TlSbSe2F (PBE, optimized geometry); space group = P4/mmm (123); calculated volume = 26.3 Å³ per atom; raw formation energy = -3.4 eV per formula unit; total DFT energy (no corrections) = -3.753 eV per atom; magnetic moment = 0.0000 μB per atom
1.0
5.4544 0.0000 0.0000
0.0000 5.4544 0.0000
0.0000 0.0000 4.4121
F Tl Sb Se
1 1 1 2
direct
0.0000 0.0000 0.5000
0.5000 0.5000 0.5000
0.0000 0.0000 0.0000
0.5000 0.0000 0.0000
0.0000 0.5000 0.0000

11.
Tb5Y2Mg (PBE, optimized geometry); space group = P-1 (2); calculated volume = 31.3 Å³ per atom; calculated formation energy = 0.0456 eV per atom; total DFT energy (no corrections) = -4.664 eV per atom; magnetic moment = 0.0000 μB per atom; ΔE to the lowest computed polymorph = 26 meV per atom
1.0
-7.3499 2.4825 5.2750
4.9629 -5.1194 -4.9245
15.1826 -0.2244 10.8161
Tb Y Mg
10 4 2
direct
0.8912 0.7549 0.6553
0.8711 0.7524 0.8468
0.1378 0.3532 0.7551
0.7374 0.2484 0.5926
0.2626 0.7516 0.4074
0.1088 0.2451 0.3447
0.5293 0.0644 0.9109
0.1289 0.2476 0.1532
0.8622 0.6468 0.2449
0.4707 0.9356 0.0891
0.8588 0.6783 0.0427
0.8983 0.7093 0.4589
0.1412 0.3217 0.9573
0.1017 0.2907 0.5411
0.6274 0.1806 0.7493
0.3726 0.8194 0.2507

12.
AlNiCl2 (PBE, optimized geometry); space group = Pm (6); calculated volume = 20.6 Å³ per atom; raw formation energy = -2.1 eV per formula unit; total DFT energy (no corrections) = -3.840 eV per atom; magnetic moment = 0.1905 μB per atom; ΔE to the lowest computed polymorph = 36 meV per atom
1.0
3.0312 0.0000 0.0000
0.0000 3.2802 -0.1256
0.0000 0.0812 8.2764
Cl Al Ni
2 1 1
direct
0.0000 0.8954 0.9168
0.5000 0.3563 0.3399
0.5000 0.8799 0.7037
0.0000 0.3685 0.5396

13.
Li4ScPd7 (PBE, optimized geometry); space group = C2/m (12); calculated volume = 15.3 Å³ per atom; calculated formation energy = -0.3182 eV per atom; total DFT energy (no corrections) = -4.513 eV per atom; magnetic moment = 0.0000 μB per atom
1.0
4.8035 0.0000 0.0000
2.4018 6.5030 0.8312
2.4018 0.8715 5.9893
Sc Pd Li
1 7 4
direct
0.0000 0.0000 0.0000
0.2230 0.1174 0.4366
0.7454 0.2829 0.2263
0.7770 0.8826 0.5634
0.9304 0.4116 0.7276
0.0696 0.5884 0.2724
0.2546 0.7171 0.7737
0.5000 0.0000 0.0000
0.4545 0.7105 0.3804
0.6894 0.6404 0.9808
0.3106 0.3596 0.0192
0.5455 0.2895 0.6196

14.
CsHg3Pd (PBE, optimized geometry); space group = Cmcm (63); calculated volume = 33.3 Å³ per atom; calculated formation energy = -0.0866 eV per atom; total DFT energy (no corrections) = -1.477 eV per atom; magnetic moment = 0.0000 μB per atom; ΔE to the lowest computed polymorph = 190 meV per atom
1.0
-7.6212 1.6888 1.4619
1.9400 -7.0564 -3.0848
0.5665 -2.2935 5.6027
Cs Pd Hg
2 2 6
direct
0.5839 0.4161 0.7500
0.4161 0.5839 0.2500
0.8350 0.1650 0.7500
0.1650 0.8350 0.2500
0.9019 0.4534 0.2500
0.0000 0.0000 0.5000
0.4534 0.9019 0.7500
0.0981 0.5466 0.7500
0.0000 0.0000 0.0000
0.5466 0.0981 0.2500

15.
CsSeBr3 (PBE, optimized geometry); space group = C2/c (15); calculated volume = 41.3 Å³ per atom; raw formation energy = -3.8 eV per formula unit; total DFT energy (no corrections) = -2.640 eV per atom; magnetic moment = 0.0000 μB per atom
1.0
-12.5692 -2.0640 7.1644
-6.6292 -8.7913 0.4636
9.3170 -5.8857 0.0236
Br Se Cs
12 4 4
direct
0.2594 0.0338 0.2259
0.1357 0.8090 0.9283
0.7406 0.9662 0.7741
0.6398 0.8263 0.9409
0.6357 0.5717 0.6910
0.7594 0.2741 0.4662
0.8643 0.1910 0.0717
0.3643 0.4283 0.3090
0.2406 0.7259 0.5338
0.8602 0.4409 0.3263
0.3602 0.1737 0.0591
0.1398 0.5591 0.6737
0.7500 0.1164 0.6164
0.2500 0.4884 0.9884
0.2500 0.8836 0.3836
0.7500 0.5116 0.0116
0.2246 0.3139 0.4293
0.7246 0.0707 0.1861
0.2754 0.9293 0.8139
0.7754 0.6861 0.5707

16.
TeP2Cl (PBE, optimized geometry); space group = Pmmm (47); calculated volume = 24.1 Å³ per atom; raw formation energy = 3.1 eV per formula unit; total DFT energy (no corrections) = -3.181 eV per atom; magnetic moment = 0.0002 μB per atom; ΔE to the lowest computed polymorph = 869 meV per atom
1.0
-2.0295 -2.8840 0.9208
2.5839 -2.3047 -1.5230
3.3054 -0.3611 6.1544
Cl P Te
1 2 1
direct
0.0000 0.5000 0.5000
0.5000 0.5000 0.0000
0.0000 0.0000 0.0000
0.5000 0.0000 0.5000

17.
Nd2MgSi3Ni4 (PBE, optimized geometry); space group = P-4m2 (115); calculated volume = 16.4 Å³ per atom; raw formation energy = -6.6 eV per formula unit; total DFT energy (no corrections) = -5.716 eV per atom; magnetic moment = 0.0000 μB per atom
1.0
-3.9160 0.1249 1.2089
0.2960 -3.8577 1.3575
2.8011 3.2883 8.7337
Si Ni Nd Mg
3 4 2 1
direct
0.0000 0.0000 0.5000
0.0000 0.5000 0.1210
0.5000 0.0000 0.8790
0.0000 0.5000 0.3599
0.0000 0.0000 0.0000
0.5000 0.0000 0.6401
0.5000 0.5000 0.0000
0.5000 0.0000 0.2408
0.0000 0.5000 0.7592
0.5000 0.5000 0.5000

18.
MnCu2AsS4 (PBE, optimized geometry); space group = I-42m (121); calculated volume = 19.8 Å³ per atom; raw formation energy = -2.1 eV per formula unit; total DFT energy (no corrections) = -5.081 eV per atom; magnetic moment = 0.4977 μB per atom
1.0
5.4363 0.2237 0.0000
-0.2280 5.4361 0.0000
-2.6042 -2.8299 5.3466
S Cu Mn As
4 2 1 1
direct
0.1112 0.1112 0.7368
0.6256 0.6256 0.7368
0.3740 0.8892 0.2632
0.8892 0.3740 0.2632
0.2500 0.7500 0.5001
0.7500 0.2500 0.5001
0.0000 0.0000 0.9999
0.5002 0.5002 0.0004

19.
Na2Ta4S7 (PBE, optimized geometry); space group = P-1 (2); calculated volume = 19.5 Å³ per atom; raw formation energy = -11.3 eV per formula unit; total DFT energy (no corrections) = -6.945 eV per atom; magnetic moment = 0.0000 μB per atom
1.0
6.2152 -0.1547 0.0693
-3.3365 5.4939 -0.2113
0.0243 -0.2011 7.5547
Ta S Na
4 7 2
direct
0.9002 0.9240 0.6709
0.6406 0.2597 0.5047
0.3594 0.7403 0.4953
0.0998 0.0760 0.3291
0.5845 0.0194 0.7576
0.0000 0.0000 0.0000
0.0068 0.3992 0.2914
0.9932 0.6008 0.7086
0.4155 0.9806 0.2424
0.7051 0.6811 0.3803
0.2949 0.3189 0.6197
0.6973 0.3948 0.0221
0.3027 0.6052 0.9779

20.
GaHg2S (PBE, optimized geometry); space group = R-3m (166); calculated volume = 25.9 Å³ per atom; raw formation energy = 0.7 eV per formula unit; total DFT energy (no corrections) = -1.759 eV per atom; magnetic moment = 0.0000 μB per atom; ΔE to the lowest computed polymorph = 103 meV per atom
1.0
3.7546 0.0000 0.0000
1.8773 3.2516 0.0000
1.8773 1.0839 8.4999
S Hg Ga
1 2 1
direct
0.5000 0.5000 0.5000
0.9000 0.9000 0.2999
0.1000 0.1000 0.7001
0.0000 0.0000 0.0000